Record 1
Material: Mg2CdIn9
Method: DFT, GGA-PBE
State: optimized geometry

SG: No. 123
energy of formation: -0.13 eV per formula unit

Lattice parameters (Å, degrees): 4.671 4.671 14.008 90.00 90.00 90.00
Atoms (fractional coordinates):
Mg (0.000, 0.000, 0.164)
Mg (0.000, 0.000, 0.836)
Cd (0.000, 0.000, 0.500)
In (0.000, 0.500, 0.000)
In (0.000, 0.500, 0.331)
In (0.000, 0.500, 0.669)
In (0.500, 0.000, 0.000)
In (0.500, 0.000, 0.331)
In (0.500, 0.000, 0.669)
In (0.500, 0.500, 0.164)
In (0.500, 0.500, 0.500)
In (0.500, 0.500, 0.836)

***

Record 2
Material: PrCoPH
Method: DFT, GGA-PBE
State: optimized geometry

E_tot: -6.084 eV per atom
SG: No. 129

Lattice parameters (Å, degrees): 3.812 3.812 8.104 90.00 90.00 90.00
Atoms (fractional coordinates):
Pr (0.250, 0.250, 0.182)
Pr (0.750, 0.750, 0.818)
Co (0.250, 0.750, 0.500)
Co (0.750, 0.250, 0.500)
P (0.250, 0.250, 0.646)
P (0.750, 0.750, 0.354)
H (0.250, 0.750, 0.000)
H (0.750, 0.250, 0.000)

***

Record 3
Material: VH2
Method: DFT, GGA-PBE
State: optimized geometry

E_tot: -4.609 eV per atom
SG: No. 227

Lattice parameters (Å, degrees): 3.869 3.869 3.869 60.00 60.00 60.00
Atoms (fractional coordinates):
V (0.125, 0.125, 0.125)
V (0.875, 0.875, 0.875)
H (0.000, 0.500, 0.500)
H (0.500, 0.000, 0.500)
H (0.500, 0.500, 0.000)
H (0.500, 0.500, 0.500)

***

Record 4
Material: TlZnCo
Method: DFT, GGA-PBE
State: optimized geometry

offset from the most stable computed form: 132 meV per atom
SG: No. 156
energy of formation: 1.46 eV per formula unit

Lattice parameters (Å, degrees): 3.089 3.089 6.481 90.00 90.00 120.00
Atoms (fractional coordinates):
Tl (0.000, 0.000, 0.000)
Zn (0.333, 0.667, 0.401)
Co (0.667, 0.333, 0.669)

***

Record 5
Material: Ba2SrAc2
Method: DFT, GGA-PBE
State: optimized geometry

offset from the most stable computed form: 0 meV per atom
SG: No. 139
energy of formation: 0.19 eV per formula unit

Lattice parameters (Å, degrees): 15.625 15.625 15.625 164.71 164.71 21.69
Atoms (fractional coordinates):
Ba (0.108, 0.108, 0.000)
Ba (0.892, 0.892, 0.000)
Sr (0.500, 0.500, 0.000)
Ac (0.292, 0.292, 0.000)
Ac (0.708, 0.708, 0.000)

***

Record 6
Material: Li8PPd3
Method: DFT, GGA-PBE
State: optimized geometry

SG: No. 12
energy of formation: -2.29 eV per formula unit

Lattice parameters (Å, degrees): 5.992 5.992 7.266 114.03 114.03 89.94
Atoms (fractional coordinates):
Li (0.119, 0.640, 0.260)
Li (0.120, 0.120, 0.260)
Li (0.358, 0.358, 0.739)
Li (0.360, 0.881, 0.740)
Li (0.640, 0.119, 0.260)
Li (0.642, 0.642, 0.261)
Li (0.880, 0.880, 0.740)
Li (0.881, 0.360, 0.740)
P (0.000, 0.000, 0.500)
Pd (0.251, 0.749, 0.000)
Pd (0.500, 0.500, 0.500)
Pd (0.749, 0.251, 0.000)

***

Record 7
Material: InSnH3
Method: DFT, GGA-PBE
State: optimized geometry

offset from the most stable computed form: 123 meV per atom
SG: No. 221

Lattice parameters (Å, degrees): 4.083 4.083 4.083 90.00 90.00 90.00
Atoms (fractional coordinates):
In (0.000, 0.000, 0.000)
Sn (0.500, 0.500, 0.500)
H (0.000, 0.000, 0.500)
H (0.000, 0.500, 0.000)
H (0.500, 0.000, 0.000)

***

Record 8
Material: Pm2Sm6Cd
Method: DFT, GGA-PBE
State: optimized geometry

offset from the most stable computed form: 8 meV per atom
SG: No. 136
energy of formation: -0.16 eV per formula unit

Lattice parameters (Å, degrees): 10.733 10.733 5.063 90.00 90.00 90.00
Atoms (fractional coordinates):
Pm (0.164, 0.164, 0.000)
Pm (0.336, 0.664, 0.500)
Pm (0.664, 0.336, 0.500)
Pm (0.836, 0.836, 0.000)
Sm (0.000, 0.332, 0.500)
Sm (0.000, 0.668, 0.500)
Sm (0.164, 0.836, 0.000)
Sm (0.168, 0.500, 0.000)
Sm (0.332, 0.000, 0.500)
Sm (0.336, 0.336, 0.500)
Sm (0.500, 0.168, 0.000)
Sm (0.500, 0.832, 0.000)
Sm (0.664, 0.664, 0.500)
Sm (0.668, 0.000, 0.500)
Sm (0.832, 0.500, 0.000)
Sm (0.836, 0.164, 0.000)
Cd (0.000, 0.000, 0.500)
Cd (0.500, 0.500, 0.000)

***

Record 9
Material: Y5Au4
Method: DFT, GGA-PBE
State: optimized geometry

offset from the most stable computed form: 374 meV per atom
SG: No. 139
energy of formation: -3.58 eV per formula unit

Lattice parameters (Å, degrees): 7.113 7.113 7.113 96.78 96.78 139.81
Atoms (fractional coordinates):
Y (0.000, 0.000, 0.000)
Y (0.324, 0.324, 0.648)
Y (0.324, 0.676, 0.000)
Y (0.676, 0.324, 0.000)
Y (0.676, 0.676, 0.352)
Au (0.000, 0.322, 0.322)
Au (0.000, 0.678, 0.678)
Au (0.322, 0.000, 0.322)
Au (0.678, 0.000, 0.678)

***

Record 10
Material: TbPm2Dy2
Method: DFT, GGA-PBE
State: optimized geometry

offset from the most stable computed form: 348 meV per atom
SG: No. 139
energy of formation: 1.84 eV per formula unit

Lattice parameters (Å, degrees): 8.844 8.844 8.844 149.94 149.94 43.02
Atoms (fractional coordinates):
Tb (0.000, 0.000, 0.000)
Pm (0.250, 0.750, 0.500)
Pm (0.750, 0.250, 0.500)
Dy (0.407, 0.407, 0.000)
Dy (0.593, 0.593, 0.000)

***

Record 11
Material: Tl2PdI6
Method: DFT, GGA-PBE
State: optimized geometry

SG: No. 12
raw formation energy: -334 meV per atom

Lattice parameters (Å, degrees): 7.588 7.588 7.790 113.29 113.29 64.22
Atoms (fractional coordinates):
Tl (0.216, 0.216, 0.208)
Tl (0.784, 0.784, 0.792)
Pd (0.500, 0.500, 0.000)
I (0.207, 0.686, 0.193)
I (0.274, 0.274, 0.709)
I (0.314, 0.793, 0.807)
I (0.686, 0.207, 0.193)
I (0.726, 0.726, 0.291)
I (0.793, 0.314, 0.807)

***

Record 12
Material: SiTePb2
Method: DFT, GGA-PBE
State: optimized geometry

offset from the most stable computed form: 99 meV per atom
SG: No. 65
raw formation energy: 267 meV per atom

Lattice parameters (Å, degrees): 3.451 3.451 9.444 90.00 90.00 95.18
Atoms (fractional coordinates):
Si (0.000, 0.000, 0.000)
Te (0.000, 0.000, 0.500)
Pb (0.500, 0.500, 0.207)
Pb (0.500, 0.500, 0.793)

***

Record 13
Material: Sc3MnCu
Method: DFT, GGA-PBE
State: optimized geometry

offset from the most stable computed form: 0 meV per atom
SG: No. 221
energy of formation: 1.75 eV per formula unit

Lattice parameters (Å, degrees): 4.778 4.778 4.778 90.00 90.00 90.00
Atoms (fractional coordinates):
Sc (0.000, 0.000, 0.500)
Sc (0.000, 0.500, 0.000)
Sc (0.500, 0.000, 0.000)
Mn (0.000, 0.000, 0.000)
Cu (0.500, 0.500, 0.500)

***

Record 14
Material: YHf2Co2
Method: DFT, GGA-PBE
State: optimized geometry

offset from the most stable computed form: 90 meV per atom
SG: No. 127
energy of formation: -0.89 eV per formula unit

Lattice parameters (Å, degrees): 7.507 7.507 3.263 90.00 90.00 90.00
Atoms (fractional coordinates):
Y (0.000, 0.000, 0.000)
Y (0.500, 0.500, 0.000)
Hf (0.151, 0.349, 0.500)
Hf (0.349, 0.849, 0.500)
Hf (0.651, 0.151, 0.500)
Hf (0.849, 0.651, 0.500)
Co (0.129, 0.629, 0.000)
Co (0.371, 0.129, 0.000)
Co (0.629, 0.871, 0.000)
Co (0.871, 0.371, 0.000)

***

Record 15
Material: Mg2AlPt
Method: DFT, GGA-PBE
State: optimized geometry

SG: No. 15
energy of formation: -1.95 eV per formula unit

Lattice parameters (Å, degrees): 5.527 5.527 6.020 106.31 106.31 55.95
Atoms (fractional coordinates):
Mg (0.203, 0.233, 0.112)
Mg (0.233, 0.203, 0.612)
Mg (0.767, 0.797, 0.388)
Mg (0.797, 0.767, 0.888)
Al (0.294, 0.706, 0.750)
Al (0.706, 0.294, 0.250)
Pt (0.220, 0.780, 0.250)
Pt (0.780, 0.220, 0.750)

***

Record 16
Material: Li3In4Pb2
Method: DFT, GGA-PBE
State: optimized geometry

SG: No. 15
energy of formation: -1.34 eV per formula unit

Lattice parameters (Å, degrees): 9.118 9.118 5.566 99.77 99.77 73.55
Atoms (fractional coordinates):
Li (0.123, 0.877, 0.750)
Li (0.210, 0.461, 0.915)
Li (0.461, 0.210, 0.415)
Li (0.539, 0.790, 0.585)
Li (0.790, 0.539, 0.085)
Li (0.877, 0.123, 0.250)
In (0.023, 0.764, 0.200)
In (0.236, 0.977, 0.300)
In (0.324, 0.574, 0.479)
In (0.426, 0.676, 0.021)
In (0.574, 0.324, 0.979)
In (0.676, 0.426, 0.521)
In (0.764, 0.023, 0.700)
In (0.977, 0.236, 0.800)
Pb (0.105, 0.346, 0.352)
Pb (0.346, 0.105, 0.852)
Pb (0.654, 0.895, 0.148)
Pb (0.895, 0.654, 0.648)

***

Record 17
Material: Co2HgOs
Method: DFT, GGA-PBE
State: optimized geometry

SG: No. 99
energy of formation: 2.02 eV per formula unit

Lattice parameters (Å, degrees): 2.796 2.796 7.286 90.00 90.00 90.00
Atoms (fractional coordinates):
Co (0.000, 0.000, 0.000)
Co (0.500, 0.500, 0.200)
Hg (0.000, 0.000, 0.477)
Os (0.500, 0.500, 0.787)

***

Record 18
Material: Mg3AlAg5
Method: DFT, GGA-PBE
State: optimized geometry

SG: No. 193
energy of formation: -1.39 eV per formula unit

Lattice parameters (Å, degrees): 8.127 8.127 5.688 90.00 90.00 120.00
Atoms (fractional coordinates):
Mg (0.000, 0.367, 0.250)
Mg (0.000, 0.633, 0.750)
Mg (0.367, 0.000, 0.250)
Mg (0.367, 0.367, 0.750)
Mg (0.633, 0.000, 0.750)
Mg (0.633, 0.633, 0.250)
Al (0.000, 0.000, 0.000)
Al (0.000, 0.000, 0.500)
Ag (0.000, 0.297, 0.750)
Ag (0.000, 0.703, 0.250)
Ag (0.297, 0.000, 0.750)
Ag (0.297, 0.297, 0.250)
Ag (0.333, 0.667, 0.000)
Ag (0.333, 0.667, 0.500)
Ag (0.667, 0.333, 0.000)
Ag (0.667, 0.333, 0.500)
Ag (0.703, 0.000, 0.250)
Ag (0.703, 0.703, 0.750)

***

Record 19
Material: YAgHg
Method: DFT, GGA-PBE
State: optimized geometry

SG: No. 187
energy of formation: -1.09 eV per formula unit

Lattice parameters (Å, degrees): 4.868 4.868 3.390 90.00 90.00 120.00
Atoms (fractional coordinates):
Y (0.000, 0.000, 0.000)
Ag (0.667, 0.333, 0.500)
Hg (0.333, 0.667, 0.500)

***

Record 20
Material: TlCu2Ag
Method: DFT, GGA-PBE
State: optimized geometry

offset from the most stable computed form: 94 meV per atom
SG: No. 216
energy of formation: 1.13 eV per formula unit

Lattice parameters (Å, degrees): 4.573 4.573 4.573 60.00 60.00 60.00
Atoms (fractional coordinates):
Tl (0.000, 0.000, 0.000)
Cu (0.250, 0.250, 0.250)
Cu (0.500, 0.500, 0.500)
Ag (0.750, 0.750, 0.750)

***

Record 21
Material: Na10B17C3
Method: DFT, GGA-PBE
State: optimized geometry

offset from the most stable computed form: 16 meV per atom
SG: No. 5
energy of formation: 6.64 eV per formula unit

Lattice parameters (Å, degrees): 7.590 7.590 10.392 120.89 120.89 40.92
Atoms (fractional coordinates):
Na (0.000, 0.000, 0.250)
Na (0.000, 0.000, 0.750)
Na (0.200, 0.204, 0.254)
Na (0.200, 0.204, 0.754)
Na (0.393, 0.402, 0.243)
Na (0.393, 0.402, 0.743)
Na (0.598, 0.607, 0.257)
Na (0.598, 0.607, 0.757)
Na (0.796, 0.800, 0.246)
Na (0.796, 0.800, 0.746)
B (0.034, 0.355, 0.000)
B (0.037, 0.352, 0.500)
B (0.178, 0.822, 0.500)
B (0.228, 0.584, 0.000)
B (0.362, 0.043, 0.000)
B (0.365, 0.026, 0.500)
B (0.416, 0.772, 0.000)
B (0.534, 0.277, 0.500)
B (0.554, 0.259, 0.000)
B (0.645, 0.966, 0.000)
B (0.648, 0.963, 0.500)
B (0.723, 0.466, 0.500)
B (0.741, 0.446, 0.000)
B (0.849, 0.151, 0.500)
B (0.868, 0.132, 0.000)
B (0.957, 0.638, 0.000)
B (0.974, 0.635, 0.500)
C (0.161, 0.839, 0.000)
C (0.237, 0.569, 0.501)
C (0.431, 0.763, 0.499)

***

Record 22
Material: TiTe3Au2
Method: DFT, GGA-PBE
State: optimized geometry

SG: No. 11
raw formation energy: -338 meV per atom

Lattice parameters (Å, degrees): 8.018 3.969 10.785 90.00 104.36 90.00
Atoms (fractional coordinates):
Ti (0.222, 0.250, 0.208)
Ti (0.778, 0.750, 0.792)
Te (0.050, 0.750, 0.331)
Te (0.307, 0.750, 0.037)
Te (0.435, 0.750, 0.692)
Te (0.565, 0.250, 0.308)
Te (0.693, 0.250, 0.963)
Te (0.950, 0.250, 0.669)
Au (0.067, 0.250, 0.929)
Au (0.396, 0.750, 0.415)
Au (0.604, 0.250, 0.585)
Au (0.933, 0.750, 0.071)